LiBrCl (GGA-PBE, relaxed); formation energy from raw total energies = -2.952 eV/f.u.; SG = Imm2 (44); electronic total energy = -0.205 Ry per atom; energy above the lowest structure with this stoichiometry = 0.028 eV/atom
1.0
8.077 0.064 0.005
6.692 4.522 -0.005
-7.228 -2.799 2.273
Cl Li Br
1 1 1
Direct
0.246 0.246 0.000
0.793 0.793 0.000
0.961 0.961 0.000

=====

Gd2SnTe (GGA-PBE, relaxed); formation energy from raw total energies = -4.328 eV/f.u.; SG = R-3m (166); electronic total energy = -0.728 Ry per atom; energy above the lowest structure with this stoichiometry = 0.000 eV/atom
1.0
-2.202 -3.803 0.486
2.118 -3.617 1.407
-1.571 -0.701 7.509
Te Gd Sn
1 2 1
Direct
0.500 0.500 0.500
0.746 0.746 0.761
0.254 0.254 0.239
0.000 0.000 0.000

=====

Al2ReAs2 (GGA-PBE, relaxed); SG = I4/mmm (139); electronic total energy = -0.393 Ry per atom; DFT formation energy = 2.47 eV/f.u.
1.0
-1.693 1.693 8.198
1.693 -1.693 8.198
1.693 1.693 -8.198
As Al Re
2 2 1
Direct
0.750 0.250 0.500
0.250 0.750 0.500
0.579 0.579 0.000
0.421 0.421 0.000
0.000 0.000 0.000

=====

Tb3HgB (GGA-PBE, relaxed); SG = Pm-3m (221); electronic total energy = -0.317 Ry per atom; DFT formation energy = -0.70 eV/f.u.
1.0
5.050 0.000 0.000
0.000 5.050 0.000
0.000 0.000 5.050
Tb B Hg
3 1 1
Direct
0.000 0.500 0.000
0.000 0.000 0.500
0.500 0.000 0.000
0.000 0.000 0.000
0.500 0.500 0.500

=====

CeSiAu3 (GGA-PBE, relaxed); formation energy from raw total energies = -2.609 eV/f.u.; SG = I4mm (107); electronic total energy = -0.350 Ry per atom; energy above the lowest structure with this stoichiometry = 0.000 eV/atom
1.0
-1.516 -0.985 4.098
2.183 -3.908 -0.133
4.534 -0.167 4.079
Ce Au Si
1 3 1
Direct
0.399 0.202 0.907
0.135 0.439 0.434
0.805 0.609 0.094
0.636 0.939 0.434
0.033 0.836 0.640

=====

Ac2CdAuO6 (GGA-PBE, relaxed); formation energy from raw total energies = -17.616 eV/f.u.; SG = P4mm (99); electronic total energy = -0.439 Ry per atom
1.0
-2.654 -0.331 -3.817
-2.623 -4.724 2.234
-4.028 3.421 2.503
O Au Cd Ac
6 1 1 2
Direct
0.170 0.000 0.000
0.712 0.242 0.242
0.712 0.758 0.242
0.110 0.500 0.500
0.712 0.242 0.758
0.712 0.758 0.758
0.664 0.000 0.000
0.572 0.500 0.500
0.041 0.500 0.000
0.041 0.000 0.500

=====

Co2AsSe (GGA-PBE, relaxed); formation energy from raw total energies = 0.779 eV/f.u.; SG = Fm-3m (225); electronic total energy = -0.396 Ry per atom
1.0
3.352 -1.640 2.088
-0.076 -4.072 1.303
2.495 -2.902 -1.907
As Co Se
1 2 1
Direct
0.000 0.000 0.000
0.750 0.750 0.750
0.250 0.250 0.250
0.500 0.500 0.500

=====

Lu5CuPb3 (GGA-PBE, relaxed); SG = P6_3/mcm (193); electronic total energy = -0.341 Ry per atom; DFT formation energy = -3.88 eV/f.u.
1.0
9.026 0.000 0.000
-4.513 7.817 0.000
0.000 0.000 6.550
Pb Lu Cu
6 10 2
Direct
0.000 0.609 0.750
0.391 0.000 0.250
0.609 0.609 0.250
0.391 0.391 0.750
0.000 0.391 0.250
0.609 0.000 0.750
0.000 0.251 0.750
0.251 0.000 0.750
0.333 0.667 0.500
0.000 0.749 0.250
0.333 0.667 0.000
0.251 0.251 0.250
0.749 0.000 0.250
0.667 0.333 0.500
0.667 0.333 0.000
0.749 0.749 0.750
0.000 0.000 0.000
0.000 0.000 0.500

=====

TaTiRuW (GGA-PBE, relaxed); SG = F-43m (216); electronic total energy = -0.795 Ry per atom; energy above the lowest structure with this stoichiometry = 0.036 eV/atom; DFT formation energy = -1.28 eV/f.u.
1.0
4.479 0.000 0.000
2.239 3.879 0.000
2.239 1.293 3.657
Ti W Ru Ta
1 1 1 1
Direct
0.500 0.500 0.500
0.750 0.750 0.750
0.250 0.250 0.250
0.000 0.000 0.000

=====

Tb8YSc3 (GGA-PBE, relaxed); SG = P1 (1); electronic total energy = -0.377 Ry per atom; DFT formation energy = 0.95 eV/f.u.
1.0
5.497 -0.042 -1.855
-0.893 8.619 -3.444
-0.558 -2.011 8.755
Tb Sc Y
8 3 1
Direct
0.249 0.850 0.408
0.879 0.616 0.901
0.897 0.867 0.718
0.481 0.867 0.097
0.097 0.134 0.273
0.744 0.161 0.592
0.126 0.379 0.089
0.534 0.125 0.921
0.695 0.598 0.226
0.317 0.383 0.778
0.685 0.387 0.405
0.294 0.603 0.590

=====

RbCoTcS3 (GGA-PBE, relaxed); formation energy from raw total energies = -3.949 eV/f.u.; SG = P2_1/m (11); electronic total energy = -0.426 Ry per atom
1.0
-0.703 -0.579 3.467
-8.146 -1.278 -1.865
5.610 -7.399 -0.097
Rb S Co Tc
2 6 2 2
Direct
0.250 0.246 0.256
0.750 0.754 0.744
0.750 0.206 0.550
0.250 0.121 0.853
0.750 0.483 0.130
0.250 0.794 0.450
0.750 0.879 0.147
0.250 0.517 0.870
0.250 0.090 0.605
0.750 0.910 0.395
0.750 0.297 0.828
0.250 0.703 0.172